# 1
Material: TaCd3C
Method: DFT, GGA-PBE
State: optimized geometry

Properties
Total magnetic moment   0.000 μB per atom
Formation enthalpy at 0 K   1.4037 eV per atom
Calculated total energy   -16.8 eV per cell

a b c (Å): 4.561 4.561 4.561
angles (deg): 90.00 90.00 90.00
Sites, in units of the cell vectors:
Cd  0.500  0.000  0.000
C  0.000  0.000  0.000
Cd  0.000  0.000  0.500
Ta  0.500  0.500  0.500
Cd  0.000  0.500  0.000



# 2
Material: Cs3CoI6
Method: DFT, GGA-PBE
State: optimized geometry

Properties
Total magnetic moment   0.000 μB per atom
E_form (uncorrected)   -0.877 eV/atom
Calculated total energy   -27.7 eV per cell

a b c (Å): 8.815 8.815 8.815
angles (deg): 60.00 60.00 90.00
Sites, in units of the cell vectors:
I  0.288  0.288  0.000
I  0.288  0.288  0.423
Cs  0.250  0.750  0.500
I  0.712  0.712  0.577
Cs  0.750  0.250  0.500
I  0.288  0.712  0.000
I  0.712  0.288  0.000
Cs  0.000  0.000  0.000
I  0.712  0.712  0.000
Co  0.500  0.500  0.000



# 3
Material: KNi2Ru
Method: DFT, GGA-PBE
State: optimized geometry

Properties
Total magnetic moment   0.212 μB per atom
Formation enthalpy at 0 K   0.6684 eV per atom
Calculated total energy   -19.3 eV per cell

a b c (Å): 4.064 2.647 6.997
angles (deg): 79.04 90.00 90.00
Sites, in units of the cell vectors:
K  0.500  0.804  0.761
Ni  0.000  0.149  0.081
Ni  0.500  0.050  0.276
Ru  0.000  0.497  0.382



# 4
Material: KHf3H
Method: DFT, GGA-PBE
State: optimized geometry

Properties
Total magnetic moment   0.000 μB per atom
Calculated total energy   -30.8 eV per cell

a b c (Å): 4.638 4.638 4.638
angles (deg): 90.00 90.00 90.00
Sites, in units of the cell vectors:
Hf  0.000  0.500  0.000
Hf  0.000  0.000  0.500
K  0.500  0.500  0.500
H  0.000  0.000  0.000
Hf  0.500  0.000  0.000



# 5
Material: Sc3SbC
Method: DFT, GGA-PBE
State: optimized geometry

Properties
Total magnetic moment   0.000 μB per atom
E_form (uncorrected)   0.098 eV/atom
Calculated total energy   -31.9 eV per cell

a b c (Å): 3.949 3.949 7.484
angles (deg): 90.00 90.00 90.00
Sites, in units of the cell vectors:
C  0.500  0.500  0.580
Sc  0.500  0.000  0.420
Sb  0.000  0.000  0.112
Sc  0.000  0.000  0.732
Sc  0.000  0.500  0.420



# 6
Material: Pm2PrZrN4
Method: DFT, GGA-PBE
State: optimized geometry

Properties
Total magnetic moment   0.000 μB per atom
E_form (uncorrected)   -1.446 eV/atom
Calculated total energy   -67.7 eV per cell

a b c (Å): 3.521 6.138 6.112
angles (deg): 109.14 90.00 90.00
Sites, in units of the cell vectors:
Pm  0.000  0.500  0.500
N  0.500  0.772  0.769
Pr  0.500  0.500  0.000
Zr  0.000  0.000  0.000
Pm  0.500  0.000  0.500
N  0.500  0.228  0.231
N  0.000  0.768  0.239
N  0.000  0.232  0.761